## Ce2YCu2Ge2 (PBE)

Data for Ce2YCu2Ge2 after structural relaxation.

SG = R-3m, No. 166
Formation energy = -0.5056 eV per atom
Size of the total moment = 1.5 μB/cell

Geometry as POSCAR:
```
Ce2YCu2Ge2
1.0
2.1157 1.2215 9.0723
-2.1157 1.2215 9.0723
0.0000 -2.4430 9.0723
Ce Y Cu Ge
2 1 2 2
Cartesian
0.0000 0.0000 3.8143
0.0000 0.0000 23.4027
0.0000 0.0000 0.0000
0.0000 0.0000 11.0043
0.0000 0.0000 16.2128
0.0000 0.0000 7.1948
0.0000 0.0000 20.0222
```

## Pm3ErZn8 (PBE)

Data for Pm3ErZn8 after structural relaxation.

SG = P3m1, No. 156
Formation energy = -0.3097 eV per atom
Distance to the lowest polymorph of the same formula = 1.45 kJ/mol of atoms
Size of the total moment = 0.0 μB/cell

Geometry as POSCAR:
```
Pm3ErZn8
1.0
5.6283 0.0000 0.0000
-2.8141 4.8742 0.0000
0.0000 0.0000 8.6901
Pm Er Zn
3 1 8
Cartesian
0.0000 0.0000 0.0000
0.0000 0.0000 3.4167
0.0000 3.2495 7.7540
0.0000 3.2495 4.3772
-1.4013 2.4404 1.7453
1.4233 0.8218 6.0423
1.4013 2.4404 1.7453
0.0000 4.8676 1.7453
2.8141 1.6247 3.8722
2.8141 1.6247 8.2497
4.2049 0.8218 6.0423
2.8141 3.2307 6.0423
```

## Hf2Ni3Pt3 (PBE)

Data for Hf2Ni3Pt3 after structural relaxation.

SG = Pmmm, No. 47
Formation energy = -0.8416 eV per atom
Size of the total moment = 0.0 μB/cell

Geometry as POSCAR:
```
Hf2Ni3Pt3
1.0
3.8855 0.0000 0.0000
0.0000 3.9399 0.0000
0.0000 0.0000 7.7397
Hf Ni Pt
2 3 3
Cartesian
0.0000 0.0000 1.8899
0.0000 0.0000 5.8498
1.9427 0.0000 0.0000
1.9427 1.9700 1.9004
1.9427 1.9700 5.8393
0.0000 1.9700 0.0000
0.0000 1.9700 3.8699
1.9427 0.0000 3.8699
```

## LiPrGdY (PBE)

Data for LiPrGdY after structural relaxation.

SG = F-43m, No. 216
Formation energy = 0.1748 eV per atom
Size of the total moment = 7.4 μB/cell

Geometry as POSCAR:
```
LiPrGdY
1.0
0.0000 3.9436 3.9436
3.9436 0.0000 3.9436
3.9436 3.9436 0.0000
Li Pr Gd Y
1 1 1 1
Cartesian
0.0000 0.0000 0.0000
5.9155 5.9155 5.9155
3.9436 3.9436 3.9436
1.9718 1.9718 1.9718
```

## Tc2PbAu (PBE)

Data for Tc2PbAu after structural relaxation.

SG = P2/m, No. 10
Formation energy = 0.6391 eV per atom
Size of the total moment = 0.6 μB/cell

Geometry as POSCAR:
```
Tc2PbAu
1.0
4.8221 0.0000 0.0000
0.0000 3.0766 0.0000
-1.5463 0.0000 4.7676
Tc Pb Au
2 1 1
Cartesian
0.0000 0.0000 0.0000
-0.7732 1.5383 2.3838
1.6379 0.0000 2.3838
2.4110 1.5383 0.0000
```

## TiCoAsBr2 (PBE)

Data for TiCoAsBr2 after structural relaxation.

SG = P4/mmm, No. 123
Distance to the lowest polymorph of the same formula = 10.04 kJ/mol of atoms
Size of the total moment = 0.1 μB/cell

Geometry as POSCAR:
```
TiCoAsBr2
1.0
4.7787 0.0000 0.0000
0.0000 4.7787 0.0000
0.0000 0.0000 4.6678
Ti Co As Br
1 1 1 2
Cartesian
0.0000 0.0000 0.0000
2.3893 2.3893 2.3339
2.3893 2.3893 0.0000
0.0000 2.3893 2.3339
2.3893 0.0000 2.3339
```

## CaMgTi (PBE)

Data for CaMgTi after structural relaxation.

SG = P1, No. 1
Formation energy = 0.3142 eV per atom
Distance to the lowest polymorph of the same formula = 5.30 kJ/mol of atoms
Size of the total moment = 0.0 μB/cell

Geometry as POSCAR:
```
CaMgTi
1.0
3.2216 0.0000 0.0000
1.5171 6.0891 0.0000
1.4352 0.0122 7.8370
Ca Mg Ti
2 2 2
Cartesian
0.0000 0.0000 0.0000
1.2714 2.9016 2.1908
3.0942 5.7345 3.0958
2.9405 1.4789 5.0906
4.2064 3.2599 7.0343
5.0628 4.2768 5.3259
```

## Tb5Bi5C (PBE)

Data for Tb5Bi5C after structural relaxation.

SG = C2/m, No. 12
Formation energy = -0.4720 eV per atom
Size of the total moment = 0.0 μB/cell

Geometry as POSCAR:
```
Tb5Bi5C
1.0
6.5084 -3.0375 0.0000
6.5084 3.0375 0.0000
-4.1962 0.0000 8.3025
Tb Bi C
5 5 1
Cartesian
0.0000 0.0000 0.0000
1.4672 0.0000 5.9960
4.1906 0.0000 0.8576
4.6300 0.0000 7.4450
7.3534 0.0000 2.3065
-1.7448 0.0000 6.3277
1.4297 0.0000 2.7872
4.4103 0.0000 4.1513
7.3909 0.0000 5.5154
10.5654 0.0000 1.9749
6.5084 0.0000 0.0000
```

## Na3Cu2PdO6 (PBE)

Data for Na3Cu2PdO6 after structural relaxation.

SG = C2/m, No. 12
Size of the total moment = 0.7 μB/cell

Geometry as POSCAR:
```
Na3Cu2PdO6
1.0
2.9147 -4.4271 0.0000
2.9147 4.4271 0.0000
-2.4215 0.0000 5.2699
Na Cu Pd O
3 2 1 6
Cartesian
0.0000 0.0000 0.0000
2.9147 1.4831 0.0000
2.9147 -1.4831 0.0000
1.7039 2.9373 2.6350
1.7039 -2.9373 2.6350
1.7039 0.0000 2.6350
1.0868 1.5482 1.4662
-0.2571 0.0000 3.4887
1.0868 -1.5482 1.4662
2.3210 1.5482 3.8037
3.6649 0.0000 1.7812
2.3210 -1.5482 3.8037
```

## PrSmMnIn (PBE)

Data for PrSmMnIn after structural relaxation.

SG = F-43m, No. 216
Formation energy = -0.0575 eV per atom
Size of the total moment = 3.4 μB/cell

Geometry as POSCAR:
```
PrSmMnIn
1.0
0.0000 3.7911 3.7911
3.7911 0.0000 3.7911
3.7911 3.7911 0.0000
Pr Sm Mn In
1 1 1 1
Cartesian
0.0000 0.0000 0.0000
3.7911 3.7911 3.7911
5.6867 5.6867 5.6867
1.8956 1.8956 1.8956
```

## Pr6DyMg (PBE)

Data for Pr6DyMg after structural relaxation.

SG = R-3, No. 148
Formation energy = 0.0856 eV per atom
Distance to the lowest polymorph of the same formula = 8.52 kJ/mol of atoms
Size of the total moment = 0.0 μB/cell

Geometry as POSCAR:
```
Pr6DyMg
1.0
4.8930 2.8250 3.3072
-4.8930 2.8250 3.3072
0.0000 -5.6499 3.3072
Pr Dy Mg
6 1 1
Cartesian
-3.4558 -0.7099 4.4745
-1.1131 -3.3478 5.4471
-2.3427 2.6379 5.4471
2.3427 -2.6379 4.4745
1.1131 3.3478 4.4745
3.4558 0.7099 5.4471
0.0000 0.0000 4.9608
0.0000 0.0000 0.0000
```

## Ce4IrPt (PBE)

Data for Ce4IrPt after structural relaxation.

SG = Fddd, No. 70
Formation energy = -0.5472 eV per atom
Distance to the lowest polymorph of the same formula = 3.65 kJ/mol of atoms
Size of the total moment = 4.4 μB/cell

Geometry as POSCAR:
```
Ce4IrPt
1.0
0.0000 5.4788 6.6148
4.3891 0.0000 6.6148
4.3891 5.4788 0.0000
Ce Ir Pt
8 2 2
Cartesian
3.3594 1.3566 3.5133
3.2243 1.3566 6.4089
5.4188 4.0959 6.8207
5.5540 4.0959 9.7163
3.2243 6.8616 3.5133
3.3594 6.8616 6.4089
5.5540 9.6010 6.8207
5.4188 9.6010 9.7163
3.2918 4.1091 4.9611
5.4864 6.8485 8.2685
1.0973 1.3697 1.6537
7.6810 9.5879 11.5759
```

## CrCuPd (PBE)

Data for CrCuPd after structural relaxation.

SG = Immm, No. 71
Formation energy = 0.2488 eV per atom
Distance to the lowest polymorph of the same formula = 8.25 kJ/mol of atoms
Size of the total moment = 0.0 μB/cell

Geometry as POSCAR:
```
CrCuPd
1.0
-1.3342 2.2209 6.8724
1.3342 -2.2209 6.8724
1.3342 2.2209 -6.8724
Cr Cu Pd
2 2 2
Cartesian
0.0000 0.9650 0.0000
0.0000 3.4768 0.0000
0.0000 0.0000 5.0750
0.0000 0.0000 8.6698
0.0000 0.0000 2.5055
0.0000 0.0000 11.2393
```

## AcSm3Sb3 (PBE)

Data for AcSm3Sb3 after structural relaxation.

SG = P2_13, No. 198
Distance to the lowest polymorph of the same formula = 0.00 kJ/mol of atoms
Size of the total moment = 0.0 μB/cell

Geometry as POSCAR:
```
AcSm3Sb3
1.0
9.5760 0.0000 0.0000
0.0000 9.5760 0.0000
0.0000 0.0000 9.5760
Ac Sm Sb
4 12 12
Cartesian
0.6632 4.1247 5.4512
4.1247 5.4512 0.6632
5.4512 0.6632 4.1247
8.9127 8.9127 8.9127
0.7211 5.5091 8.8549
1.7202 7.8557 3.0678
1.7467 1.7467 1.7467
3.0412 7.8292 6.5347
3.0678 1.7202 7.8557
4.0669 4.0669 4.0669
5.5091 8.8549 0.7211
6.5082 6.5082 6.5082
6.5347 3.0412 7.8292
7.8292 6.5347 3.0412
7.8557 3.0678 1.7202
8.8549 0.7211 5.5091
0.0239 2.4875 8.4570
1.1190 4.8118 2.3005
2.3005 1.1190 4.8118
2.4875 8.4570 0.0239
3.6690 4.7641 7.0884
4.7641 7.0884 3.6690
4.8118 2.3005 1.1190
5.9069 9.5521 7.2755
7.0884 3.6690 4.7641
7.2755 5.9069 9.5521
8.4570 0.0239 2.4875
9.5521 7.2755 5.9069
```

## In12Sb3Te5 (PBE)

Data for In12Sb3Te5 after structural relaxation.

SG = Ia-3d, No. 230
Size of the total moment = 0.0 μB/cell

Geometry as POSCAR:
```
In12Sb3Te5
1.0
-9.0950 9.0950 9.0950
9.0950 -9.0950 9.0950
9.0950 9.0950 -9.0950
In Sb Te
48 12 20
Cartesian
2.8487 -0.1450 1.3075
10.7939 5.8550 -4.6925
11.9437 0.1450 1.3075
10.7939 -3.2400 4.6925
8.9501 -1.3075 2.8487
13.7875 -1.6989 3.2400
1.3075 2.8487 -0.1450
12.3351 4.4026 -1.6989
5.8550 4.6925 -1.6989
7.7876 2.8487 0.1450
-0.1450 1.3075 2.8487
4.6925 -1.6989 5.8550
8.9501 7.7876 -2.8487
4.6925 1.6989 3.2400
5.8550 -4.6925 10.7939
7.7876 -2.8487 8.9501
3.2400 4.6925 1.6989
10.4025 6.2464 0.1450
4.6925 10.7939 -3.2400
8.9501 1.3075 6.2464
2.8487 8.9501 -1.3075
10.7939 3.2400 4.4026
1.6989 3.2400 4.6925
2.8487 0.1450 7.7876
6.2464 8.9501 1.3075
7.3962 5.8550 4.4026
-1.6989 5.8550 4.6925
6.2464 0.1450 10.4025
0.1450 7.7876 2.8487
4.4026 -1.6989 12.3351
-1.3075 2.8487 8.9501
5.8550 4.4026 7.3962
1.3075 11.9437 0.1450
3.2400 13.7875 -1.6989
4.4026 7.3962 5.8550
0.1450 1.3075 11.9437
4.4026 10.7939 3.2400
9.2400 7.7876 6.2464
1.3075 6.2464 8.9501
3.2400 4.4026 10.7939
-3.2400 4.6925 10.7939
7.7876 6.2464 9.2400
-4.6925 10.7939 5.8550
0.1450 10.4025 6.2464
-1.6989 12.3351 4.4026
-2.8487 8.9501 7.7876
-1.6989 3.2400 13.7875
6.2464 9.2400 7.7876
4.5475 2.2738 0.0000
9.0950 4.5475 -2.2738
2.2738 0.0000 4.5475
11.3688 0.0000 4.5475
0.0000 4.5475 2.2738
4.5475 -2.2738 9.0950
4.5475 11.3688 0.0000
9.0950 4.5475 6.8213
-2.2738 9.0950 4.5475
6.8213 9.0950 4.5475
0.0000 4.5475 11.3688
4.5475 6.8213 9.0950
0.0000 0.0000 0.0000
4.5475 4.5475 -4.5475
4.5475 -4.5475 4.5475
9.0950 0.0000 0.0000
13.6425 2.2738 0.0000
9.0950 -4.5475 6.8213
6.8213 9.0950 -4.5475
6.8213 0.0000 4.5475
4.5475 6.8213 0.0000
9.0950 4.5475 2.2738
-4.5475 4.5475 4.5475
0.0000 9.0950 0.0000
0.0000 0.0000 9.0950
4.5475 4.5475 4.5475
0.0000 4.5475 6.8213
4.5475 2.2738 9.0950
2.2738 9.0950 4.5475
2.2738 0.0000 13.6425
0.0000 13.6425 2.2738
-4.5475 6.8213 9.0950
```

## CsIn3O5 (PBE)

Data for CsIn3O5 after structural relaxation.

SG = Pnma, No. 62
Size of the total moment = 0.0 μB/cell

Geometry as POSCAR:
```
CsIn3O5
1.0
10.2914 0.0000 0.0000
0.0000 3.4029 0.0000
0.0000 0.0000 16.8092
Cs In O
4 12 20
Cartesian
0.3282 0.8507 2.0632
4.8175 2.5521 10.4678
5.4739 0.8507 6.3414
9.9632 2.5521 14.7460
1.1223 0.8507 11.1735
1.4842 2.5521 8.2331
1.8744 0.8507 5.3900
3.2713 2.5521 13.7946
3.6615 0.8507 16.6378
4.0234 2.5521 2.7689
6.2680 0.8507 14.0403
6.6299 2.5521 0.1715
7.0201 0.8507 3.0146
8.4170 2.5521 11.4192
8.8072 0.8507 8.5761
9.1691 2.5521 5.6357
0.2544 0.8507 7.1330
0.7036 2.5521 4.5832
1.9809 2.5521 12.0856
2.2692 0.8507 9.3612
2.3642 0.8507 14.9350
2.7815 2.5521 6.5304
2.8765 2.5521 0.9566
3.1648 0.8507 3.6810
4.4421 0.8507 12.9878
4.8913 2.5521 15.5376
5.4001 0.8507 1.2716
5.8493 2.5521 3.8214
7.1266 2.5521 13.1282
7.4149 0.8507 15.8526
7.5099 0.8507 10.2788
7.9272 2.5521 1.8742
8.0222 2.5521 7.4480
8.3105 0.8507 4.7236
9.5878 0.8507 12.2261
10.0370 2.5521 9.6762
```

## Tl2OsRh (PBE)

Data for Tl2OsRh after structural relaxation.

SG = P4mm, No. 99
Formation energy = 0.4951 eV per atom
Distance to the lowest polymorph of the same formula = 0.00 kJ/mol of atoms
Size of the total moment = 0.0 μB/cell

Geometry as POSCAR:
```
Tl2OsRh
1.0
2.9429 0.0000 0.0000
0.0000 2.9429 0.0000
0.0000 0.0000 9.7694
Tl Os Rh
2 1 1
Cartesian
0.0000 0.0000 0.0000
1.4714 1.4714 3.4417
0.0000 0.0000 5.8362
1.4714 1.4714 7.3968
```

## MgTa2Be (PBE)

Data for MgTa2Be after structural relaxation.

SG = R3m, No. 160
Formation energy = 0.3728 eV per atom
Distance to the lowest polymorph of the same formula = 23.35 kJ/mol of atoms
Size of the total moment = 0.0 μB/cell

Geometry as POSCAR:
```
MgTa2Be
1.0
1.4452 0.8344 9.4206
-1.4452 0.8344 9.4206
0.0000 -1.6687 9.4206
Mg Ta Be
1 2 1
Cartesian
0.0000 0.0000 0.0000
0.0000 0.0000 14.6205
0.0000 0.0000 21.4723
0.0000 0.0000 7.2598
```

## GdPuSnGe (PBE)

Data for GdPuSnGe after structural relaxation.

SG = F-43m, No. 216
Formation energy = -0.4370 eV per atom
Size of the total moment = 12.9 μB/cell

Geometry as POSCAR:
```
GdPuSnGe
1.0
0.0000 3.6966 3.6966
3.6966 0.0000 3.6966
3.6966 3.6966 0.0000
Gd Pu Sn Ge
1 1 1 1
Cartesian
0.0000 0.0000 0.0000
3.6966 3.6966 3.6966
5.5450 5.5450 5.5450
1.8483 1.8483 1.8483
```

| no. | raw total energy (eV/cell) |
| --- | --- |
| 1 | -39.30 |
| 2 | -32.72 |
| 3 | -62.11 |
| 4 | -26.54 |
| 5 | -25.16 |
| 6 | -20.64 |
| 7 | -21.10 |
| 8 | -56.97 |
| 9 | -58.00 |
| 10 | -21.64 |
| 11 | -34.19 |
| 12 | -83.84 |
| 13 | -36.33 |
| 14 | -150.89 |
| 15 | -246.08 |
| 16 | -191.01 |
| 17 | -21.33 |
| 18 | -27.53 |
| 19 | -38.78 |